The following is a DFT calculation (PBE) of LiScBe3 after structural relaxation.

```
LiScBe3
1.0
-3.3205 -3.5722 -0.7179
1.2531 -2.0317 4.3132
-3.4213 2.7228 2.2766
Li Be Sc
1 3 1
Direct
0.5000 0.5000 0.5000 Li
0.5000 0.0000 0.0000 Be
0.0000 0.5000 0.0000 Be
0.0000 0.0000 0.5000 Be
0.0000 0.0000 0.0000 Sc
```

- calculated volume (Å³/atom) = 23.96
- energy relative to the elements (meV/atom) = 1543
- space group = No. 221



The following is a DFT calculation (PBE) of LiScBe after structural relaxation.

```
LiScBe
1.0
-0.9376 -3.7386 -2.2052
-0.7777 0.2580 4.3644
-2.5692 0.9474 -0.5138
Be Li Sc
1 1 1
Direct
0.0000 0.0000 0.1626 Be
0.6667 0.3333 0.1718 Li
0.3333 0.6667 0.6656 Sc
```

- calculated volume (Å³/atom) = 15.86
- energy relative to the elements (meV/atom) = 234
- space group = No. 156



The following is a DFT calculation (PBE) of Li2ScBe after structural relaxation.

```
Li2ScBe
1.0
5.6425 0.1354 0.2038
4.7792 3.0025 0.2038
1.7489 0.5266 4.2570
Be Li Sc
1 2 1
Direct
0.7500 0.7500 0.7500 Be
0.0399 0.0399 0.9602 Li
0.4601 0.4601 0.5398 Li
0.2500 0.2500 0.2500 Sc
```

- calculated volume (Å³/atom) = 17.06
- energy relative to the elements (meV/atom) = 184
- space group = No. 12



The following is a DFT calculation (PBE) of LiSc2Be after structural relaxation.

```
LiSc2Be
1.0
4.6369 0.0099 0.0000
-0.0084 4.6369 0.0000
0.0000 0.0000 3.3414
Li Sc Be
1 2 1
Direct
0.0000 0.5000 0.5000 Li
0.0000 0.0000 0.0000 Sc
0.5000 0.5000 0.0000 Sc
0.5000 0.0000 0.5000 Be
```

- calculated volume (Å³/atom) = 17.96
- energy relative to the elements (meV/atom) = 104
- space group = No. 123



The following is a DFT calculation (PBE) of LiScBe2 after structural relaxation.

```
LiScBe2
1.0
-2.7867 -2.5070 -2.0485
-4.1955 0.6936 0.4049
-2.2379 1.5415 -3.2959
Be Sc Li
2 1 1
Direct
0.2500 0.2500 0.2500 Be
0.7500 0.7500 0.7500 Be
0.5000 0.5000 0.5000 Sc
0.0000 0.0000 0.0000 Li
```

- calculated volume (Å³/atom) = 13.78
- energy relative to the elements (meV/atom) = 186
- space group = No. 225



The following is a DFT calculation (PBE) of LiSc2Be after structural relaxation.

```
LiSc2Be
1.0
9.4534 0.0121 0.0071
8.9109 3.1564 0.0071
8.9109 1.5374 2.7566
Li Sc Be
1 2 1
Direct
0.7500 0.7500 0.7500 Li
0.5149 0.5149 0.5149 Sc
0.9851 0.9851 0.9851 Sc
0.2500 0.2500 0.2500 Be
```

- calculated volume (Å³/atom) = 20.44
- energy relative to the elements (meV/atom) = 227
- space group = No. 166



The following is a DFT calculation (PBE) of LiSc2Be after structural relaxation.

```
LiSc2Be
1.0
3.1875 0.0018 0.0000
-0.0035 3.1875 0.0000
0.0000 0.0000 7.4497
Sc Be Li
2 1 1
Direct
0.0000 0.0000 0.0468 Sc
0.0000 0.0000 0.4532 Sc
0.5000 0.5000 0.2500 Be
0.5000 0.5000 0.7500 Li
```

- calculated volume (Å³/atom) = 18.92
- energy relative to the elements (meV/atom) = 50
- space group = No. 123



The following is a DFT calculation (PBE) of LiSc2Be after structural relaxation.

```
LiSc2Be
1.0
7.3469 0.0000 0.0000
0.0000 7.3469 0.0000
3.6734 3.6734 2.8299
Be Li Sc
2 2 4
Direct
0.0000 0.0000 0.0000 Be
0.7500 0.2500 0.5000 Be
0.5000 0.5000 0.0000 Li
0.2500 0.7500 0.5000 Li
0.1014 0.6250 0.2500 Sc
0.8750 0.8986 0.7500 Sc
0.6486 0.1250 0.2500 Sc
0.3750 0.3514 0.7500 Sc
```

- calculated volume (Å³/atom) = 19.09
- energy relative to the elements (meV/atom) = 436
- space group = No. 122



The following is a DFT calculation (PBE) of Li2ScBe after structural relaxation.

```
Li2ScBe
1.0
-3.3404 1.7294 0.1884
-1.6915 -3.3241 0.5237
-1.4542 0.1942 10.0795
Be Sc Li
2 2 4
Direct
0.5000 0.5000 0.0000 Be
0.2500 0.7500 0.5000 Be
0.7500 0.2500 0.5000 Sc
0.0000 0.0000 0.0000 Sc
0.1785 0.6250 0.2500 Li
0.3750 0.4285 0.7500 Li
0.5715 0.1250 0.2500 Li
0.8750 0.8215 0.7500 Li
```

- calculated volume (Å³/atom) = 17.43
- energy relative to the elements (meV/atom) = 346
- space group = No. 122



The following is a DFT calculation (PBE) of LiSc4Be after structural relaxation.

```
LiSc4Be
1.0
-0.5822 -5.6396 1.2194
2.3296 -2.1746 4.8452
-3.4288 -1.6843 4.3633
Li Sc Be
1 4 1
Direct
0.0000 0.0000 0.0000 Li
0.3762 0.3762 0.3762 Sc
0.8713 0.3762 0.3762 Sc
0.3762 0.8713 0.3762 Sc
0.3762 0.3762 0.8713 Sc
0.7500 0.7500 0.7500 Be
```

- calculated volume (Å³/atom) = 22.99
- energy relative to the elements (meV/atom) = 612
- space group = No. 216



The following is a DFT calculation (PBE) of LiSmScBe after structural relaxation.

```
LiSmScBe
1.0
-0.8798 -4.6426 -1.2399
-1.2711 -3.2439 3.4244
-4.5615 -1.7432 0.1401
Be Li Sc Sm
1 1 1 1
Direct
0.5000 0.5000 0.5000 Be
0.0000 0.0000 0.0000 Li
0.2500 0.2500 0.2500 Sc
0.7500 0.7500 0.7500 Sm
```

- calculated volume (Å³/atom) = 20.61
- energy relative to the elements (meV/atom) = 144
- space group = No. 216



The following is a DFT calculation (PBE) of LiTmScBe after structural relaxation.

```
LiTmScBe
1.0
4.7944 0.0000 0.0000
2.3972 4.1520 0.0000
2.3972 1.3840 3.9146
Be Li Sc Tm
1 1 1 1
Direct
0.5000 0.5000 0.5000 Be
0.0000 0.0000 0.0000 Li
0.2500 0.2500 0.2500 Sc
0.7500 0.7500 0.7500 Tm
```

- calculated volume (Å³/atom) = 19.48
- energy relative to the elements (meV/atom) = 117
- space group = No. 216